(1)
DFT (PBE-GGA) results for TlSiAsSe2 after structural relaxation.

a = 5.3359 Å, b = 5.3359 Å, c = 5.2749 Å
α = 90.00°, β = 90.00°, γ = 90.00°
With the nearest neighbours (Å) after each atom.
Positions (direct):
Tl 0.0000 0.0000 0.0000  2 As 2.64, 4 Se 2.67
Si 0.5000 0.5000 0.5000  8 Se 3.75, 4 As 3.77
As 0.0000 0.0000 0.5000  2 Tl 2.64
Se 0.0000 0.5000 0.0000  2 Tl 2.67
Se 0.5000 0.0000 0.0000  2 Tl 2.67

Summary:
polymorph energy (0 for the lowest one): 0.943 eV per atom
total DFT energy (no corrections): -13.8 eV/cell
raw formation energy: 1.11 eV/atom

=====

(2)
DFT (PBE-GGA) results for TlSiAsSe2 after structural relaxation.

a = 4.9922 Å, b = 4.9922 Å, c = 4.8624 Å
α = 90.00°, β = 90.00°, γ = 90.00°
With the nearest neighbours (Å) after each atom.
Positions (direct):
Tl 0.0000 0.0000 0.0000  8 Se 3.48, 4 As 3.53
Si 0.5000 0.5000 0.5000  2 As 2.43, 4 Se 2.50
As 0.5000 0.5000 0.0000  2 Si 2.43
Se 0.0000 0.5000 0.5000  2 Si 2.50
Se 0.5000 0.0000 0.5000  2 Si 2.50

Summary:
polymorph energy (0 for the lowest one): 0.000 eV per atom
total DFT energy (no corrections): -18.5 eV/cell
raw formation energy: 0.17 eV/atom

=====

(3)
DFT (PBE-GGA) results for TlSiAs2Se after structural relaxation.

a = 5.2650 Å, b = 5.2650 Å, c = 5.3800 Å
α = 90.00°, β = 90.00°, γ = 90.00°
With the nearest neighbours (Å) after each atom.
Positions (direct):
Tl 0.0000 0.0000 0.0000  4 As 2.63, 2 Se 2.69
Si 0.5000 0.5000 0.5000  4 Se 3.72, 8 As 3.76
As 0.0000 0.5000 0.0000  2 Tl 2.63
As 0.5000 0.0000 0.0000  2 Tl 2.63
Se 0.0000 0.0000 0.5000  2 Tl 2.69

Summary:
polymorph energy (0 for the lowest one): 0.947 eV per atom
total DFT energy (no corrections): -14.2 eV/cell
raw formation energy: 1.28 eV/atom

=====

(4)
DFT (PBE-GGA) results for TlSiAs2Se after structural relaxation.

a = 4.8782 Å, b = 4.8782 Å, c = 5.0251 Å
α = 90.00°, β = 90.00°, γ = 90.00°
With the nearest neighbours (Å) after each atom.
Positions (direct):
Tl 0.0000 0.0000 0.0000  4 Se 3.45, 8 As 3.50
Si 0.5000 0.5000 0.5000  4 As 2.44, 2 Se 2.51
As 0.0000 0.5000 0.5000  2 Si 2.44
As 0.5000 0.0000 0.5000  2 Si 2.44
Se 0.5000 0.5000 0.0000  2 Si 2.51

Summary:
polymorph energy (0 for the lowest one): 0.000 eV per atom
total DFT energy (no corrections): -18.9 eV/cell
raw formation energy: 0.34 eV/atom

=====

(5)
DFT (PBE-GGA) results for Tm8Si3AsSe4 after structural relaxation.

a = 8.1461 Å, b = 8.1461 Å, c = 8.1461 Å
α = 59.73°, β = 59.73°, γ = 59.73°
With the nearest neighbours (Å) after each atom.
Positions (direct):
Tm 0.2404 0.7467 0.7467  2 Si 2.80, 1 As 2.84, 3 Se 2.91-2.95
Tm 0.2448 0.2448 0.2448  3 Si 2.82, 3 Se 2.94
Tm 0.2533 0.2533 0.7596  2 Si 2.80, 1 As 2.84, 3 Se 2.91-2.95
Tm 0.2533 0.7596 0.2533  2 Si 2.80, 1 As 2.84, 3 Se 2.91-2.95
Tm 0.7467 0.2404 0.7467  2 Si 2.80, 1 As 2.84, 3 Se 2.91-2.95
Tm 0.7467 0.7467 0.2404  2 Si 2.80, 1 As 2.84, 3 Se 2.91-2.95
Tm 0.7552 0.7552 0.7552  3 Si 2.82, 3 Se 2.94
Tm 0.7596 0.2533 0.2533  2 Si 2.80, 1 As 2.84, 3 Se 2.91-2.95
Si 0.0000 0.0000 0.5000  6 Tm 2.80-2.82
Si 0.0000 0.5000 0.0000  6 Tm 2.80-2.82
Si 0.5000 0.0000 0.0000  6 Tm 2.80-2.82
As 0.5000 0.5000 0.5000  6 Tm 2.84
Se 0.0000 0.0000 0.0000  6 Tm 2.91
Se 0.0000 0.5000 0.5000  6 Tm 2.94-2.95
Se 0.5000 0.0000 0.5000  6 Tm 2.94-2.95
Se 0.5000 0.5000 0.0000  6 Tm 2.94-2.95

Summary:
total DFT energy (no corrections): -92.7 eV/cell
raw formation energy: -1.38 eV/atom

=====

(6)
DFT (PBE-GGA) results for Tm4SiAs2Se after structural relaxation.

a = 7.0280 Å, b = 7.0280 Å, c = 7.0280 Å
α = 131.87°, β = 131.87°, γ = 70.44°
With the nearest neighbours (Å) after each atom.
Positions (direct):
Tm 0.2465 0.2465 0.0000  3 As 2.83-2.87, 2 Si 2.87, 1 Se 2.91
Tm 0.5016 0.0016 0.5000  1 Si 2.85, 3 As 2.87-2.89, 2 Se 2.87
Tm 0.7535 0.7535 0.0000  3 As 2.83-2.87, 2 Si 2.87, 1 Se 2.91
Tm 0.9984 0.4984 0.5000  1 Si 2.85, 3 As 2.87-2.89, 2 Se 2.87
Si 0.7500 0.2500 0.5000  6 Tm 2.85-2.87
As 0.0000 0.0000 0.0000  6 Tm 2.83-2.87
As 0.2500 0.7500 0.5000  6 Tm 2.87-2.89
Se 0.5000 0.5000 0.0000  6 Tm 2.87-2.91

Summary:
total DFT energy (no corrections): -47.2 eV/cell
raw formation energy: -1.39 eV/atom

=====

(7)
DFT (PBE-GGA) results for Tm6SiAs2Se3 after structural relaxation.

a = 9.0786 Å, b = 9.0786 Å, c = 8.1127 Å
α = 103.08°, β = 103.08°, γ = 25.78°
With the nearest neighbours (Å) after each atom.
Positions (direct):
Tm 0.0018 0.0018 0.2375  2 Si 2.79, 1 As 2.85, 3 Se 2.93-2.94
Tm 0.3311 0.3311 0.4238  3 As 2.82, 3 Se 2.90-2.91
Tm 0.3393 0.3393 0.9131  1 Si 2.77, 2 As 2.83, 3 Se 2.92-2.94
Tm 0.6607 0.6607 0.0869  1 Si 2.77, 2 As 2.83, 3 Se 2.92-2.94
Tm 0.6689 0.6689 0.5762  3 As 2.82, 3 Se 2.90-2.91
Tm 0.9982 0.9982 0.7625  2 Si 2.79, 1 As 2.85, 3 Se 2.93-2.94
Si 0.5000 0.5000 0.0000  6 Tm 2.77-2.79
As 0.1672 0.1672 0.3342  6 Tm 2.82-2.85
As 0.8328 0.8328 0.6658  6 Tm 2.82-2.85
Se 0.1684 0.1684 0.8326  6 Tm 2.90-2.94
Se 0.5000 0.5000 0.5000  6 Tm 2.91-2.94
Se 0.8316 0.8316 0.1674  6 Tm 2.90-2.94

Summary:
total DFT energy (no corrections): -70.5 eV/cell
raw formation energy: -1.54 eV/atom

=====

(8)
DFT (PBE-GGA) results for Tm6Si2AsSe3 after structural relaxation.

a = 9.0854 Å, b = 9.0854 Å, c = 8.1437 Å
α = 103.10°, β = 103.10°, γ = 25.78°
With the nearest neighbours (Å) after each atom.
Positions (direct):
Tm 0.0055 0.0055 0.2455  1 Si 2.78, 2 As 2.83, 3 Se 2.92-2.94
Tm 0.3298 0.3298 0.4256  3 Si 2.81, 3 Se 2.93-2.95
Tm 0.3350 0.3350 0.9043  2 Si 2.80, 1 As 2.84, 3 Se 2.93-2.94
Tm 0.6650 0.6650 0.0957  2 Si 2.80, 1 As 2.84, 3 Se 2.93-2.94
Tm 0.6702 0.6702 0.5744  3 Si 2.81, 3 Se 2.93-2.95
Tm 0.9945 0.9945 0.7545  1 Si 2.78, 2 As 2.83, 3 Se 2.92-2.94
Si 0.1667 0.1667 0.3332  6 Tm 2.78-2.81
Si 0.8333 0.8333 0.6668  6 Tm 2.78-2.81
As 0.5000 0.5000 0.0000  6 Tm 2.83-2.84
Se 0.1649 0.1649 0.8343  6 Tm 2.93-2.95
Se 0.5000 0.5000 0.5000  6 Tm 2.92-2.93
Se 0.8351 0.8351 0.1657  6 Tm 2.93-2.95

Summary:
total DFT energy (no corrections): -69.8 eV/cell
raw formation energy: -1.42 eV/atom

=====

(9)
DFT (PBE-GGA) results for VSiAs2Se after structural relaxation.

a = 4.8098 Å, b = 4.8098 Å, c = 4.6820 Å
α = 90.00°, β = 90.00°, γ = 90.00°
With the nearest neighbours (Å) after each atom.
Positions (direct):
V 0.0000 0.0000 0.0000  2 Se 2.34, 4 As 2.40
Si 0.5000 0.5000 0.5000  8 As 3.36, 4 Se 3.40
As 0.0000 0.5000 0.0000  2 V 2.40
As 0.5000 0.0000 0.0000  2 V 2.40
Se 0.0000 0.0000 0.5000  2 V 2.34

Summary:
polymorph energy (0 for the lowest one): 0.000 eV per atom
total DFT energy (no corrections): -24.8 eV/cell
raw formation energy: 0.50 eV/atom

=====

(10)
DFT (PBE-GGA) results for VSiAsSe2 after structural relaxation.

a = 4.7768 Å, b = 4.7768 Å, c = 4.8241 Å
α = 90.00°, β = 90.00°, γ = 90.00°
With the nearest neighbours (Å) after each atom.
Positions (direct):
V 0.0000 0.0000 0.0000  4 Se 2.39, 2 As 2.41
Si 0.5000 0.5000 0.5000  4 As 3.38, 8 Se 3.39
As 0.0000 0.0000 0.5000  2 V 2.41
Se 0.0000 0.5000 0.0000  2 V 2.39
Se 0.5000 0.0000 0.0000  2 V 2.39

Summary:
polymorph energy (0 for the lowest one): 0.000 eV per atom
total DFT energy (no corrections): -24.1 eV/cell
raw formation energy: 0.42 eV/atom

=====

(11)
DFT (PBE-GGA) results for VSiAsSe2 after structural relaxation.

a = 4.7652 Å, b = 4.7652 Å, c = 4.6956 Å
α = 90.00°, β = 90.00°, γ = 90.00°
With the nearest neighbours (Å) after each atom.
Positions (direct):
V 0.0000 0.0000 0.0000  8 Se 3.34, 4 As 3.37
Si 0.5000 0.5000 0.5000  2 As 2.35, 4 Se 2.38
As 0.5000 0.5000 0.0000  2 Si 2.35
Se 0.0000 0.5000 0.5000  2 Si 2.38
Se 0.5000 0.0000 0.5000  2 Si 2.38

Summary:
polymorph energy (0 for the lowest one): 0.365 eV per atom
total DFT energy (no corrections): -22.2 eV/cell
raw formation energy: 0.78 eV/atom

=====

(12)
DFT (PBE-GGA) results for VSiAs2Se after structural relaxation.

a = 4.6951 Å, b = 4.6951 Å, c = 4.7685 Å
α = 90.00°, β = 90.00°, γ = 90.00°
With the nearest neighbours (Å) after each atom.
Positions (direct):
V 0.0000 0.0000 0.0000  4 Se 3.32, 8 As 3.35
Si 0.5000 0.5000 0.5000  4 As 2.35, 2 Se 2.38
As 0.0000 0.5000 0.5000  2 Si 2.35
As 0.5000 0.0000 0.5000  2 Si 2.35
Se 0.5000 0.5000 0.0000  2 Si 2.38

Summary:
polymorph energy (0 for the lowest one): 0.404 eV per atom
total DFT energy (no corrections): -22.8 eV/cell
raw formation energy: 0.90 eV/atom